The following is a PBE-GGA calculation of a relaxed structure of CsGdSnSe3, from OQMD.

Unit cell a=8.9361 b=8.9361 c=12.0903 alpha=90.00 beta=90.00 gamma=153.00
Last column: nearest neighbours and their distance in Å.
Atoms (fractional coordinates):
1 Se 0.3865 0.6135 0.4905  2 Gd 2.87, 1 Sn 2.91
2 Gd 0.0000 0.0000 0.0000  6 Se 2.87-3.02
3 Se 0.0036 0.9964 0.2500  2 Sn 2.79, 2 Gd 3.02
4 Se 0.6135 0.3865 0.9905  2 Gd 2.87, 1 Sn 2.91
5 Cs 0.3007 0.6993 0.7500  2 Se 3.47
6 Se 0.6135 0.3865 0.5095  2 Gd 2.87, 1 Sn 2.91
7 Sn 0.6033 0.3967 0.7500  4 Se 2.79-2.91
8 Se 0.9964 0.0036 0.7500  2 Sn 2.79, 2 Gd 3.02
9 Se 0.3865 0.6135 0.0095  2 Gd 2.87, 1 Sn 2.91
10 Sn 0.3967 0.6033 0.2500  4 Se 2.79-2.91
11 Cs 0.6993 0.3007 0.2500  2 Se 3.47
12 Gd 0.0000 0.0000 0.5000  6 Se 2.87-3.02

## Properties
SG = Cmcm (63)
final energy = -4.535 eV per atom
mass density = 4.9 g/cm³
volume = 438.32 Å³/cell